Computed, not measured: crystalline ZnS2F at its relaxed geometry at the GGA-PBE level of DFT.

Its energy relative to the elements, uncorrected is -0.214 eV per atom. The calculation puts the offset from the most stable computed form at 140 meV/atom.

It has space group R-3m (No. 166, hexagonal axes), with a = 3.6520 Å, b = 3.6520 Å, c = 19.3441 Å, α = 90.00°, β = 90.00° and γ = 120.00°. Symmetry generates all atoms from Zn at (0.0000, 0.0000, 0.0000), S at (0.0000, 0.0000, 0.3962) and F at (0.0000, 0.0000, 0.5000).